This record from the Alexandria database describes an optimized crystal structure of SrTa2Tc. The functional is PBE.

Calculated values
**Energy above the lowest structure with this stoichiometry**: 0.196 eV per atom
**Volume**: 21.678 A^3/atom
**M_tot**: 0.00 μB per formula unit
**Space group**: No. 166
**Calculated formation energy**: 14.79 kcal/mol of atoms

abc: 9.9223 9.9223 9.9223
angles: 18.59 18.59 18.59
With the nearest neighbours (Å) after each atom.
Element x y z (fractional)
Sr1 0.7500 0.7500 0.7500  6 Sr 3.20, 6 Ta 3.52
Ta1 0.9810 0.9810 0.9810  3 Tc 2.64
Ta2 0.5190 0.5190 0.5190  3 Tc 2.64
Tc1 0.2500 0.2500 0.2500  6 Ta 2.64